[1]
# La4HgPBr2 (PBE-GGA, relaxed)
data_La4HgPBr2
_chemical_formula_sum 'La4 Hg1 P1 Br2'
_cell_length_a 7.619
_cell_length_b 4.333
_cell_length_c 7.742
_cell_angle_alpha 90.00
_cell_angle_beta 108.86
_cell_angle_gamma 90.00
_symmetry_space_group_name_H-M 'P 1'
_symmetry_Int_Tables_number 1
loop_
_symmetry_equiv_pos_as_xyz
'x,y,z'
loop_
_atom_site_label
_atom_site_type_symbol
_atom_site_fract_x
_atom_site_fract_y
_atom_site_fract_z
La1 La 0.223 0.000 0.222
La2 La 0.238 0.500 0.765
La3 La 0.762 0.500 0.235
La4 La 0.777 0.000 0.778
Hg1 Hg 0.000 0.000 0.500
P1 P 0.000 0.500 0.000
Br1 Br 0.500 0.000 0.000
Br2 Br 0.500 0.500 0.500
# - symmetry = P2/m
# - V (A^3/atom) = 30.235
# - theoretical density (Mg/m³) = 6.501
# - magnetic moment (μB per cell) = 0.0
# - electronic total energy (eV/atom) = -4.797
# - DOS(E_F) (states/eV/f.u.) = 5.8

---

[2]
# SrTi2Ga2 (PBE-GGA, relaxed)
data_SrTi2Ga2
_chemical_formula_sum 'Sr2 Ti4 Ga4'
_cell_length_a 8.247
_cell_length_b 8.247
_cell_length_c 2.935
_cell_angle_alpha 90.00
_cell_angle_beta 90.00
_cell_angle_gamma 90.00
_symmetry_space_group_name_H-M 'P 1'
_symmetry_Int_Tables_number 1
loop_
_symmetry_equiv_pos_as_xyz
'x,y,z'
loop_
_atom_site_label
_atom_site_type_symbol
_atom_site_fract_x
_atom_site_fract_y
_atom_site_fract_z
Sr1 Sr 0.000 0.000 0.000
Sr2 Sr 0.500 0.500 0.000
Ti1 Ti 0.114 0.386 0.000
Ti2 Ti 0.386 0.886 0.000
Ti3 Ti 0.614 0.114 0.000
Ti4 Ti 0.886 0.614 0.000
Ga1 Ga 0.176 0.676 0.500
Ga2 Ga 0.324 0.176 0.500
Ga3 Ga 0.676 0.824 0.500
Ga4 Ga 0.824 0.324 0.500
# - excess energy over the best structure of this formula in the dataset (eV per atom) = 0.0000
# - symmetry = P4/mbm
# - V (A^3/atom) = 19.960
# - theoretical density (Mg/m³) = 5.371
# - magnetic moment (μB per cell) = 4.6
# - electronic total energy (eV/atom) = -4.887
# - calculated formation energy (eV/atom) = -0.182
# - DOS(E_F) (states/eV/f.u.) = 3.7

---

[3]
# La3BiTe (PBE-GGA, relaxed)
data_La3BiTe
_chemical_formula_sum 'La6 Bi2 Te2'
_cell_length_a 9.493
_cell_length_b 9.493
_cell_length_c 10.959
_cell_angle_alpha 107.10
_cell_angle_beta 107.10
_cell_angle_gamma 27.39
_symmetry_space_group_name_H-M 'P 1'
_symmetry_Int_Tables_number 1
loop_
_symmetry_equiv_pos_as_xyz
'x,y,z'
loop_
_atom_site_label
_atom_site_type_symbol
_atom_site_fract_x
_atom_site_fract_y
_atom_site_fract_z
La1 La 0.012 0.012 0.176
La2 La 0.183 0.183 0.569
La3 La 0.348 0.348 0.945
La4 La 0.652 0.652 0.055
La5 La 0.817 0.817 0.431
La6 La 0.988 0.988 0.824
Bi1 Bi 0.374 0.374 0.650
Bi2 Bi 0.626 0.626 0.350
Te1 Te 0.166 0.166 0.847
Te2 Te 0.834 0.834 0.153
# - excess energy over the best structure of this formula in the dataset (eV per atom) = 0.0000
# - symmetry = C2/m
# - V (A^3/atom) = 43.296
# - theoretical density (Mg/m³) = 5.778
# - magnetic moment (μB per cell) = 0.0
# - electronic total energy (eV/atom) = -5.092
# - DOS(E_F) (states/eV/f.u.) = 4.3

---

[4]
# ZnCu2N2 (PBE-GGA, relaxed)
data_ZnCu2N2
_chemical_formula_sum 'Zn1 Cu2 N2'
_cell_length_a 4.959
_cell_length_b 4.959
_cell_length_c 4.959
_cell_angle_alpha 133.57
_cell_angle_beta 133.57
_cell_angle_gamma 67.76
_symmetry_space_group_name_H-M 'P 1'
_symmetry_Int_Tables_number 1
loop_
_symmetry_equiv_pos_as_xyz
'x,y,z'
loop_
_atom_site_label
_atom_site_type_symbol
_atom_site_fract_x
_atom_site_fract_y
_atom_site_fract_z
Zn1 Zn 0.000 0.000 0.000
Cu1 Cu 0.250 0.750 0.500
Cu2 Cu 0.750 0.250 0.500
N1 N 0.428 0.428 0.000
N2 N 0.572 0.572 0.000
# - excess energy over the best structure of this formula in the dataset (eV per atom) = 0.1148
# - symmetry = I4/mmm
# - V (A^3/atom) = 12.586
# - theoretical density (Mg/m³) = 5.819
# - magnetic moment (μB per cell) = 0.0
# - electronic total energy (eV/atom) = -4.464
# - DOS(E_F) (states/eV/f.u.) = 0.4

---

[5]
# YGeSb (PBE-GGA, relaxed)
data_YGeSb
_chemical_formula_sum 'Y4 Ge4 Sb4'
_cell_length_a 7.028
_cell_length_b 7.028
_cell_length_c 7.028
_cell_angle_alpha 90.00
_cell_angle_beta 90.00
_cell_angle_gamma 90.00
_symmetry_space_group_name_H-M 'P 1'
_symmetry_Int_Tables_number 1
loop_
_symmetry_equiv_pos_as_xyz
'x,y,z'
loop_
_atom_site_label
_atom_site_type_symbol
_atom_site_fract_x
_atom_site_fract_y
_atom_site_fract_z
Y1 Y 0.038 0.462 0.538
Y2 Y 0.462 0.538 0.038
Y3 Y 0.538 0.038 0.462
Y4 Y 0.962 0.962 0.962
Ge1 Ge 0.020 0.520 0.980
Ge2 Ge 0.480 0.480 0.480
Ge3 Ge 0.520 0.980 0.020
Ge4 Ge 0.980 0.020 0.520
Sb1 Sb 0.197 0.803 0.303
Sb2 Sb 0.303 0.197 0.803
Sb3 Sb 0.697 0.697 0.697
Sb4 Sb 0.803 0.303 0.197
# - symmetry = P2_13
# - V (A^3/atom) = 28.931
# - theoretical density (Mg/m³) = 5.420
# - magnetic moment (μB per cell) = 0.0
# - electronic total energy (eV/atom) = -5.270
# - DOS(E_F) (states/eV/f.u.) = 1.8

---

[6]
# CaBeBr2 (PBE-GGA, relaxed)
data_CaBeBr2
_chemical_formula_sum 'Ca1 Be1 Br2'
_cell_length_a 3.634
_cell_length_b 3.634
_cell_length_c 9.628
_cell_angle_alpha 90.00
_cell_angle_beta 90.00
_cell_angle_gamma 90.00
_symmetry_space_group_name_H-M 'P 1'
_symmetry_Int_Tables_number 1
loop_
_symmetry_equiv_pos_as_xyz
'x,y,z'
loop_
_atom_site_label
_atom_site_type_symbol
_atom_site_fract_x
_atom_site_fract_y
_atom_site_fract_z
Ca1 Ca 0.000 0.000 0.000
Be1 Be 0.000 0.000 0.500
Br1 Br 0.500 0.500 0.176
Br2 Br 0.500 0.500 0.824
# - excess energy over the best structure of this formula in the dataset (eV per atom) = 0.2910
# - symmetry = P4/mmm
# - V (A^3/atom) = 31.786
# - theoretical density (Mg/m³) = 2.728
# - magnetic moment (μB per cell) = 0.0
# - electronic total energy (eV/atom) = -2.777
# - DOS(E_F) (states/eV/f.u.) = 0.4

---

What did the third record say?
# La3BiTe (PBE-GGA, relaxed)
data_La3BiTe
_chemical_formula_sum 'La6 Bi2 Te2'
_cell_length_a 9.493
_cell_length_b 9.493
_cell_length_c 10.959
_cell_angle_alpha 107.10
_cell_angle_beta 107.10
_cell_angle_gamma 27.39
_symmetry_space_group_name_H-M 'P 1'
_symmetry_Int_Tables_number 1
loop_
_symmetry_equiv_pos_as_xyz
'x,y,z'
loop_
_atom_site_label
_atom_site_type_symbol
_atom_site_fract_x
_atom_site_fract_y
_atom_site_fract_z
La1 La 0.012 0.012 0.176
La2 La 0.183 0.183 0.569
La3 La 0.348 0.348 0.945
La4 La 0.652 0.652 0.055
La5 La 0.817 0.817 0.431
La6 La 0.988 0.988 0.824
Bi1 Bi 0.374 0.374 0.650
Bi2 Bi 0.626 0.626 0.350
Te1 Te 0.166 0.166 0.847
Te2 Te 0.834 0.834 0.153
# - excess energy over the best structure of this formula in the dataset (eV per atom) = 0.0000
# - symmetry = C2/m
# - V (A^3/atom) = 43.296
# - theoretical density (Mg/m³) = 5.778
# - magnetic moment (μB per cell) = 0.0
# - electronic total energy (eV/atom) = -5.092
# - DOS(E_F) (states/eV/f.u.) = 4.3

---

Copy entry 2 word for word.
# SrTi2Ga2 (PBE-GGA, relaxed)
data_SrTi2Ga2
_chemical_formula_sum 'Sr2 Ti4 Ga4'
_cell_length_a 8.247
_cell_length_b 8.247
_cell_length_c 2.935
_cell_angle_alpha 90.00
_cell_angle_beta 90.00
_cell_angle_gamma 90.00
_symmetry_space_group_name_H-M 'P 1'
_symmetry_Int_Tables_number 1
loop_
_symmetry_equiv_pos_as_xyz
'x,y,z'
loop_
_atom_site_label
_atom_site_type_symbol
_atom_site_fract_x
_atom_site_fract_y
_atom_site_fract_z
Sr1 Sr 0.000 0.000 0.000
Sr2 Sr 0.500 0.500 0.000
Ti1 Ti 0.114 0.386 0.000
Ti2 Ti 0.386 0.886 0.000
Ti3 Ti 0.614 0.114 0.000
Ti4 Ti 0.886 0.614 0.000
Ga1 Ga 0.176 0.676 0.500
Ga2 Ga 0.324 0.176 0.500
Ga3 Ga 0.676 0.824 0.500
Ga4 Ga 0.824 0.324 0.500
# - excess energy over the best structure of this formula in the dataset (eV per atom) = 0.0000
# - symmetry = P4/mbm
# - V (A^3/atom) = 19.960
# - theoretical density (Mg/m³) = 5.371
# - magnetic moment (μB per cell) = 4.6
# - electronic total energy (eV/atom) = -4.887
# - calculated formation energy (eV/atom) = -0.182
# - DOS(E_F) (states/eV/f.u.) = 3.7

---

Among the records above, which one has the highest magnetic moment? SrTi2Ga2